1.
DFT (PBE-GGA) results for a relaxed structure of CdIrPt2.

a b c (Å): 6.405 6.405 6.405
angles (deg): 90.00 90.00 90.00
Space group F-43m (No. 216)
Asymmetric unit:
Cd: 0.000 0.000 0.000
Ir: 0.250 0.250 0.250
Pt: 0.000 0.000 0.500
Pt: 0.250 0.250 0.750

Computed properties:
The density of states at the Fermi level is 1.750 states/eV/atom. Its formation energy is 77 kJ/mol of formula units.

2.
DFT (PBE-GGA) results for a relaxed structure of Na2La2Cd15.

a b c (Å): 10.2949 10.2949 14.9387
angles (deg): 90.00 90.00 120.00
Space group R-3m (No. 166, hexagonal axes)
Asymmetric unit:
Na: 0.0000 0.0000 0.0994
La: 0.0000 0.0000 0.3418
Cd: 0.0000 0.3035 0.0000
Cd: 0.0000 0.5000 0.5000
Cd: 0.0119 0.5059 0.1507

Computed properties:
The density of states at the Fermi level is 0.341 states/eV/atom. Its formation energy is -330 kJ/mol of formula units.

3.
DFT (PBE-GGA) results for a relaxed structure of SrTeOF2.

a b c (Å): 4.899 4.899 4.215
angles (deg): 90.00 90.00 90.00
Space group P4/mmm (No. 123)
Asymmetric unit:
Sr: 0.000 0.000 0.000
Te: 0.500 0.500 0.500
O: 0.500 0.500 0.000
F: 0.000 0.500 0.500

Computed properties:
The calculation puts the uncorrected formation energy at -1649.8 meV/atom. The density of states at the Fermi level is 0.422 states/eV/atom.

4.
DFT (PBE-GGA) results for a relaxed structure of Cs2KZrI6.

a b c (Å): 8.589 12.639 9.451
angles (deg): 90.00 90.00 90.00
Space group Pmmn (No. 59, origin choice 2)
Asymmetric unit:
Cs: 0.250 0.028 0.202
K: 0.250 0.250 0.711
Zr: 0.250 0.750 0.783
I: 0.005 0.750 0.568
I: 0.013 0.750 0.008
I: 0.250 0.518 0.782

Computed properties:
The calculation puts the uncorrected formation energy at -1233.9 meV/atom. The density of states at the Fermi level is 0.673 states/eV/atom.